Record 1
# GGA-PBE YAs2PI, relaxed
data_YAs2PI
_chemical_formula_sum 'Y1 As2 P1 I1'
_cell_length_a 4.817
_cell_length_b 4.817
_cell_length_c 5.578
_cell_angle_alpha 90.00
_cell_angle_beta 90.00
_cell_angle_gamma 90.00
_space_group_name_H-M_alt 'P 4/m m m'
_space_group_IT_number 123
_space_group_name_Hall '-P 4 2'
loop_
_atom_site_label
_atom_site_fract_x
_atom_site_fract_y
_atom_site_fract_z
Y1 0.000 0.000 0.000
As1 0.000 0.500 0.500
P1 0.000 0.000 0.500
I1 0.500 0.500 0.000
# Formation energy from raw total energies = -0.06 eV per atom

Record 2
# GGA-PBE RbBeP3, relaxed
data_RbBeP3
_chemical_formula_sum 'Rb1 Be1 P3'
_cell_length_a 4.596
_cell_length_b 4.596
_cell_length_c 4.596
_cell_angle_alpha 90.00
_cell_angle_beta 90.00
_cell_angle_gamma 90.00
_space_group_name_H-M_alt 'P m -3 m'
_space_group_IT_number 221
_space_group_name_Hall '-P 4 2 3'
loop_
_atom_site_label
_atom_site_fract_x
_atom_site_fract_y
_atom_site_fract_z
Rb1 0.000 0.000 0.000
Be1 0.500 0.500 0.500
P1 0.000 0.500 0.500
# Energy relative to the elements = 0.534 eV per atom

Record 3
# GGA-PBE La4W3, relaxed
data_La4W3
_chemical_formula_sum 'La8 W6'
_cell_length_a 3.364
_cell_length_b 3.364
_cell_length_c 33.270
_cell_angle_alpha 90.00
_cell_angle_beta 90.00
_cell_angle_gamma 90.00
_space_group_name_H-M_alt 'I 4/m m m'
_space_group_IT_number 139
_space_group_name_Hall '-I 4 2'
loop_
_atom_site_label
_atom_site_fract_x
_atom_site_fract_y
_atom_site_fract_z
La1 0.000 0.000 0.058
La2 0.000 0.000 0.335
W1 0.000 0.000 0.231
W2 0.000 0.000 0.500
# Energy relative to the elements = 0.443 eV per atom

| no. | calculated total energy (eV/atom) |
| --- | --- |
| 1 | -4.60 |
| 2 | -3.65 |
| 3 | -7.92 |